Entry from Alexandria via LeMat-Bulk: crystalline TlAsIrPbAuCl at its relaxed geometry (GGA-PBE).

Results
E above lowest polymorph: 64.5 kJ/mol of formula units
DFT total energy: -4.243 eV per atom
ΔE_f (raw): -0.8 eV/f.u.
size of the total moment: 0.000 μB per atom

a = 4.529 Å, b = 4.739 Å, c = 8.585 Å
α = 79.32°, β = 77.27°, γ = 86.65°
Fractional coordinates of all 6 atoms:
Tl 0.000 0.000 0.000
As 0.407 0.474 0.234
Ir 0.416 0.977 0.210
Pb 0.641 0.700 0.520
Au 0.879 0.245 0.343
Cl 0.091 0.572 0.759

---

Entry from Alexandria via LeMat-Bulk: crystalline CaCdGaBi at its relaxed geometry (GGA-PBE).

Results
DFT total energy: -2.683 eV per atom
size of the total moment: 0.000 μB per atom

a = 5.333 Å, b = 5.333 Å, c = 5.333 Å
α = 60.00°, β = 60.00°, γ = 60.00°
Fractional coordinates of all 4 atoms:
Ca 0.000 0.000 0.000
Cd 0.500 0.500 0.500
Ga 0.750 0.750 0.750
Bi 0.250 0.250 0.250